Entry 1:
A relaxed SrCa2OsO crystal. Source: the Alexandria database, functional GGA-PBE.

It has space group P4/mmm (No. 123), with a = 5.301 Å, b = 5.301 Å, c = 5.638 Å, α = 90.00°, β = 90.00° and γ = 90.00°. Symmetry generates all atoms from Sr at (0.000, 0.000, 0.000), Ca at (0.000, 0.500, 0.500), Os at (0.000, 0.000, 0.500) and O at (0.500, 0.500, 0.000).

Its calculated volume is 158.4 Å³/cell. As for the crystal system: tetragonal. The value obtained for the density of states at the Fermi level is 1.732 states/eV/cell. Its energy is -4.00 eV per atom.

Entry 2:
A relaxed ScRh2W crystal. Source: the Alexandria database, functional GGA-PBE.

It has space group Fm-3m (No. 225), with a = 6.356 Å, b = 6.356 Å, c = 6.356 Å, α = 90.00°, β = 90.00° and γ = 90.00°. Symmetry generates all atoms from Sc at (0.000, 0.000, 0.000), Rh at (0.250, 0.250, 0.250) and W at (0.000, 0.000, 0.500).

Its calculated volume is 256.8 Å³/cell. As for the crystal system: cubic. The value obtained for the polymorph energy (0 for the lowest one) is 0.1840 eV/atom. For the energy of formation from the pure elements, the calculation gives -0.26 eV/atom. The value obtained for the density of states at the Fermi level is 26.376 states/eV/cell. Its energy is -8.75 eV per atom.

Entry 3:
A relaxed Rb2AlAs2 crystal. Source: the Alexandria database, functional GGA-PBE.

It has space group C2/m (No. 12), with a = 14.839 Å, b = 6.746 Å, c = 9.297 Å, α = 90.00°, β = 122.05° and γ = 90.00°. Symmetry generates all atoms from Rb at (0.145, 0.000, 0.466), Rb at (0.234, 0.000, 0.121), Al at (0.008, 0.500, 0.162), As at (0.069, 0.500, 0.459) and As at (0.156, 0.500, 0.116).

Its calculated volume is 788.9 Å³/cell. As for the crystal system: monoclinic. The value obtained for the polymorph energy (0 for the lowest one) is 0.0174 eV/atom. For the energy of formation from the pure elements, the calculation gives -0.43 eV/atom. Its energy is -3.42 eV per atom.

Entry 4:
A relaxed Nd12Ho6Al crystal. Source: the Alexandria database, functional GGA-PBE.

It has space group R-3 (No. 148, hexagonal axes), with a = 12.0227 Å, b = 12.0227 Å, c = 15.2512 Å, α = 90.00°, β = 90.00° and γ = 120.00°. Symmetry generates all atoms from Nd at (0.0110, 0.8336, 0.3147), Nd at (0.0491, 0.2013, 0.9141), Ho at (0.0304, 0.5928, 0.1928) and Al at (0.0000, 0.0000, 0.5000).

Its calculated volume is 1909.2 Å³/cell. As for the crystal system: trigonal. For the energy of formation from the pure elements, the calculation gives 0.08 eV/atom. The value obtained for the density of states at the Fermi level is 88.979 states/eV/cell. Its energy is -4.57 eV per atom.